(1)
A relaxed structure of Al2RhBr. Source: Alexandria via LeMat-Bulk, functional PBE.

Values from the calculation:
**Space group**: Immm
**Volume**: 20.2 A^3/atom
**Total magnetic moment**: 0.00 μB per formula unit
**Formation energy (no corrections)**: 0.06 eV/atom
**E**: -4.070 eV per atom

Cell: 5.394 5.394 5.394 Å, 145.84 110.53 79.74°
Fractional coordinates of all 4 atoms:
Rh (0.250, 0.750, 0.500)
Al (0.024, 0.024, 0.000)
Al (0.476, 0.476, 0.000)
Br (0.750, 0.250, 0.500)

---

(2)
A relaxed structure of Sr4Tl5Ag6. Source: Alexandria via LeMat-Bulk, functional PBE.

Values from the calculation:
**Space group**: Cmc2_1
**Volume**: 28.2 A^3/atom
**Total magnetic moment**: 0.00 μB per formula unit
**E**: -2.576 eV per atom

Cell: 4.667 11.925 15.519 Å, 90.00 90.00 101.28°
Fractional coordinates of all 30 atoms:
Sr (0.890, 0.781, 0.773)
Sr (0.924, 0.849, 0.292)
Sr (0.110, 0.219, 0.273)
Sr (0.045, 0.090, 0.519)
Sr (0.076, 0.151, 0.792)
Sr (0.209, 0.417, 0.982)
Sr (0.791, 0.583, 0.482)
Sr (0.955, 0.910, 0.019)
Tl (0.688, 0.377, 0.801)
Tl (0.362, 0.725, 0.943)
Tl (0.199, 0.397, 0.620)
Tl (0.486, 0.973, 0.667)
Tl (0.514, 0.027, 0.167)
Tl (0.638, 0.275, 0.443)
Tl (0.801, 0.603, 0.120)
Tl (0.657, 0.314, 0.125)
Tl (0.343, 0.686, 0.625)
Tl (0.312, 0.623, 0.301)
Ag (0.617, 0.234, 0.638)
Ag (0.916, 0.832, 0.572)
Ag (0.726, 0.453, 0.292)
Ag (0.792, 0.584, 0.912)
Ag (0.519, 0.039, 0.363)
Ag (0.383, 0.766, 0.138)
Ag (0.208, 0.416, 0.412)
Ag (0.415, 0.831, 0.458)
Ag (0.585, 0.169, 0.958)
Ag (0.481, 0.961, 0.863)
Ag (0.084, 0.168, 0.072)
Ag (0.274, 0.547, 0.792)